A plane-wave DFT calculation with GGA-PBE was carried out for BaHg6Pd12 after structural relaxation.

abc: 7.598 7.598 7.598
angles: 104.92 104.92 104.92
Fractional positions:
Ba (0.000, 0.000, 0.000)
Hg (0.290, 0.290, 0.703)
Hg (0.290, 0.703, 0.290)
Hg (0.297, 0.710, 0.710)
Hg (0.703, 0.290, 0.290)
Hg (0.710, 0.297, 0.710)
Hg (0.710, 0.710, 0.297)
Pd (0.111, 0.500, 0.889)
Pd (0.111, 0.889, 0.500)
Pd (0.125, 0.372, 0.372)
Pd (0.372, 0.125, 0.372)
Pd (0.372, 0.372, 0.125)
Pd (0.500, 0.111, 0.889)
Pd (0.500, 0.889, 0.111)
Pd (0.628, 0.628, 0.875)
Pd (0.628, 0.875, 0.628)
Pd (0.875, 0.628, 0.628)
Pd (0.889, 0.111, 0.500)
Pd (0.889, 0.500, 0.111)

=====

A plane-wave DFT calculation with GGA-PBE was carried out for BaHgPd3 after structural relaxation.

abc: 7.166 7.166 7.166
angles: 134.47 99.67 97.55
Fractional positions:
Ba (0.287, 0.037, 0.250)
Ba (0.713, 0.963, 0.750)
Hg (0.000, 0.500, 0.500)
Hg (0.500, 0.500, 0.000)
Pd (0.068, 0.318, 0.750)
Pd (0.246, 0.000, 0.746)
Pd (0.246, 0.500, 0.246)
Pd (0.754, 0.000, 0.254)
Pd (0.754, 0.500, 0.754)
Pd (0.932, 0.682, 0.250)

Output
Distance to the lowest polymorph of the same formula (meV per atom): 0.0

=====

A plane-wave DFT calculation with GGA-PBE was carried out for Ba3Hg2Pd3 after structural relaxation.

abc: 6.600 6.600 16.130
angles: 90.00 90.00 138.01
Fractional positions:
Ba (0.085, 0.915, 0.607)
Ba (0.085, 0.915, 0.893)
Ba (0.360, 0.640, 0.750)
Ba (0.640, 0.360, 0.250)
Ba (0.915, 0.085, 0.107)
Ba (0.915, 0.085, 0.393)
Hg (0.210, 0.790, 0.092)
Hg (0.210, 0.790, 0.408)
Hg (0.790, 0.210, 0.592)
Hg (0.790, 0.210, 0.908)
Pd (0.333, 0.667, 0.250)
Pd (0.399, 0.601, 0.537)
Pd (0.399, 0.601, 0.963)
Pd (0.601, 0.399, 0.037)
Pd (0.601, 0.399, 0.463)
Pd (0.667, 0.333, 0.750)

=====

A plane-wave DFT calculation with GGA-PBE was carried out for BaHg2Pd2 after structural relaxation.

abc: 6.717 6.717 6.717
angles: 139.37 139.37 58.81
Fractional positions:
Ba (0.000, 0.000, 0.000)
Hg (0.250, 0.750, 0.500)
Hg (0.750, 0.250, 0.500)
Pd (0.387, 0.387, 0.000)
Pd (0.613, 0.613, 0.000)

Output
Distance to the lowest polymorph of the same formula (meV per atom): 0.0

=====

A plane-wave DFT calculation with GGA-PBE was carried out for Ba5Hg2Pd2 after structural relaxation.

abc: 9.887 9.887 8.756
angles: 90.00 90.00 52.56
Fractional positions:
Ba (0.000, 0.000, 0.000)
Ba (0.042, 0.703, 0.668)
Ba (0.203, 0.542, 0.168)
Ba (0.297, 0.958, 0.668)
Ba (0.458, 0.797, 0.168)
Ba (0.500, 0.500, 0.500)
Ba (0.542, 0.203, 0.832)
Ba (0.703, 0.042, 0.332)
Ba (0.797, 0.458, 0.832)
Ba (0.958, 0.297, 0.332)
Hg (0.208, 0.208, 0.000)
Hg (0.292, 0.292, 0.500)
Hg (0.708, 0.708, 0.500)
Hg (0.792, 0.792, 0.000)
Pd (0.118, 0.882, 0.381)
Pd (0.382, 0.618, 0.881)
Pd (0.618, 0.382, 0.119)
Pd (0.882, 0.118, 0.619)

=====

A plane-wave DFT calculation with GGA-PBE was carried out for Ba3Hg5Pd6 after structural relaxation.

abc: 9.048 9.048 9.048
angles: 149.88 110.11 77.95
Fractional positions:
Ba (0.000, 0.000, 0.000)
Ba (0.319, 0.319, 0.000)
Ba (0.681, 0.681, 0.000)
Hg (0.021, 0.680, 0.341)
Hg (0.339, 0.680, 0.659)
Hg (0.500, 0.000, 0.500)
Hg (0.661, 0.320, 0.341)
Hg (0.979, 0.320, 0.659)
Pd (0.167, 0.892, 0.275)
Pd (0.294, 0.500, 0.794)
Pd (0.383, 0.108, 0.275)
Pd (0.617, 0.892, 0.725)
Pd (0.706, 0.500, 0.206)
Pd (0.833, 0.108, 0.725)

=====

A plane-wave DFT calculation with GGA-PBE was carried out for Ba12HgPd5 after structural relaxation.

abc: 8.210 8.210 15.203
angles: 90.02 90.02 121.48
Fractional positions:
Ba (0.004, 0.670, 0.612)
Ba (0.141, 0.141, 0.119)
Ba (0.149, 0.504, 0.882)
Ba (0.330, 0.996, 0.388)
Ba (0.336, 0.336, 0.614)
Ba (0.496, 0.851, 0.118)
Ba (0.504, 0.149, 0.882)
Ba (0.664, 0.664, 0.386)
Ba (0.670, 0.004, 0.612)
Ba (0.851, 0.496, 0.118)
Ba (0.859, 0.859, 0.881)
Ba (0.996, 0.330, 0.388)
Hg (0.500, 0.500, 0.000)
Pd (0.000, 0.000, 0.500)
Pd (0.166, 0.834, 0.000)
Pd (0.334, 0.666, 0.500)
Pd (0.666, 0.334, 0.500)
Pd (0.834, 0.166, 0.000)

=====

A plane-wave DFT calculation with GGA-PBE was carried out for Ba3HgPd2 after structural relaxation.

abc: 8.840 8.840 4.040
angles: 90.00 90.00 142.22
Fractional positions:
Ba (0.000, 0.000, 0.000)
Ba (0.323, 0.677, 0.000)
Ba (0.677, 0.323, 0.000)
Hg (0.500, 0.500, 0.500)
Pd (0.160, 0.840, 0.500)
Pd (0.840, 0.160, 0.500)

=====

| no. | magnetization (μB per formula unit) | ΔE_f (eV per atom) |
| --- | --- | --- |
| 1 | 0.00 | -0.06 |
| 2 | 0.00 | -0.41 |
| 3 | 0.00 | -0.54 |
| 4 | 0.00 | -0.42 |
| 5 | 0.00 | -0.46 |
| 6 | 0.00 | -0.48 |
| 7 | 0.00 | -0.39 |
| 8 | 0.00 | -0.47 |